No. 1
Below is an optimized crystal structure of CsLiCeTe3, with properties calculated at the GGA-PBE level.

a b c (Å): 4.6533 10.1473 10.7920
angles (deg): 109.92 90.00 90.00
Fractional coordinates of all 12 atoms:
Cs1 0.7500 0.7847 0.7397
Cs2 0.2500 0.2153 0.2603
Li1 0.2500 0.0818 0.5986
Li2 0.7500 0.9182 0.4014
Ce1 0.2500 0.6820 0.1523
Ce2 0.7500 0.3180 0.8477
Te1 0.2500 0.7930 0.4493
Te2 0.7500 0.8737 0.1300
Te3 0.7500 0.4745 0.1543
Te4 0.7500 0.2070 0.5507
Te5 0.2500 0.5255 0.8457
Te6 0.2500 0.1263 0.8700

For the formation energy from raw total energies, the calculation gives -7.110 eV/f.u.

No. 2
Below is an optimized crystal structure of PmLuTi, with properties calculated at the GGA-PBE level.

a b c (Å): 3.3216 5.2121 5.2121
angles (deg): 120.00 90.00 90.00
Site moments in Bohr magnetons follow the coordinates.
Fractional coordinates of all 3 atoms:
Lu1 0.6666 0.6667 0.3333  -0.06
Ti1 0.1669 0.3333 0.6667  -0.87
Pm1 0.1665 0.0000 0.0000  -0.05

Its energy of formation from the pure elements is 0.24 eV/atom. The value obtained for the density of states at the Fermi level is 1.141 states/eV per atom.